No. 1
Density functional theory data (PBE) for crystalline Na2PdF4 at its relaxed geometry.

Properties
The crystal system is monoclinic. The value obtained for the offset from the most stable computed form is 17 meV/atom.

a = 8.7353 Å, b = 5.5539 Å, c = 3.5533 Å
α = 90.00°, β = 90.05°, γ = 90.00°
Space group C2/m (No. 12)
Unique sites:
Na (0.1614, 0.0000, 0.2704) x4
Pd (0.0000, 0.5000, 0.0000) x2
F (0.1248, 0.2450, 0.7609) x8

No. 2
Density functional theory data (PBE) for crystalline Pr3Se2O at its relaxed geometry.

Properties
The value obtained for the size of the total moment is 0.00 μB/atom. The crystal system is trigonal. As for the final energy: -38.510 eV/cell.

a = 3.9401 Å, b = 3.9401 Å, c = 10.4409 Å
α = 90.00°, β = 90.00°, γ = 120.00°
Space group P-3m1 (No. 164)
Unique sites:
Pr (0.0000, 0.0000, 0.0000) x1
Pr (0.3333, 0.6667, 0.3721) x2
Se (0.3333, 0.6667, 0.8134) x2
O (0.0000, 0.0000, 0.5000) x1

No. 3
Density functional theory data (PBE) for crystalline GdDy2YPd4 at its relaxed geometry.

Properties
The value obtained for the size of the total moment is 0.00 μB/atom. The crystal system is tetragonal. The value obtained for the formation energy from the elements is -0.883 eV/atom.

a = 4.9591 Å, b = 4.9591 Å, c = 7.0061 Å
α = 90.00°, β = 90.00°, γ = 90.00°
Space group P4/mmm (No. 123)
Unique sites:
Gd (0.0000, 0.0000, 0.0000) x1
Dy (0.0000, 0.0000, 0.5000) x1
Dy (0.5000, 0.5000, 0.0000) x1
Y (0.5000, 0.5000, 0.5000) x1
Pd (0.0000, 0.5000, 0.2501) x4

No. 4
Density functional theory data (PBE) for crystalline AgBi5Pt3 at its relaxed geometry.

Properties
The value obtained for the size of the total moment is 0.00 μB/atom. The crystal system is hexagonal. As for the final energy: -41.233 eV/cell.

a = 5.7429 Å, b = 5.7429 Å, c = 8.3612 Å
α = 90.00°, β = 90.00°, γ = 120.00°
Space group P6/mmm (No. 191)
Unique sites:
Ag (0.0000, 0.0000, 0.0000) x1
Bi (0.0000, 0.0000, 0.5000) x1
Bi (0.3333, 0.6667, 0.2071) x4
Pt (0.0000, 0.5000, 0.5000) x3

No. 5
Density functional theory data (PBE) for crystalline Ag124Hg at its relaxed geometry.

Properties
The crystal system is cubic. The value obtained for the formation energy from the elements is 0.002 eV/atom.

a = 20.5610 Å, b = 20.5610 Å, c = 20.5610 Å
α = 90.00°, β = 90.00°, γ = 90.00°
Space group Fm-3m (No. 225)
Unique sites:
Ag (0.0000, 0.0000, 0.1000) x24
Ag (0.0000, 0.0000, 0.2997) x24
Ag (0.0000, 0.1000, 0.1999) x96
Ag (0.0000, 0.1010, 0.3990) x48
Ag (0.0000, 0.2002, 0.2998) x48
Ag (0.1000, 0.1000, 0.1000) x32
Ag (0.1001, 0.1001, 0.2998) x96
Ag (0.1000, 0.2000, 0.2000) x96
Ag (0.2000, 0.2000, 0.3000) x32
Hg (0.0000, 0.0000, 0.5000) x4

No. 6
Density functional theory data (PBE) for crystalline TlIrAu3O4 at its relaxed geometry.

Properties
The value obtained for the size of the total moment is 0.54 μB/atom. The crystal system is cubic. As for the final energy: -36.419 eV/cell.

a = 5.4765 Å, b = 5.4765 Å, c = 5.4765 Å
α = 90.00°, β = 90.00°, γ = 90.00°
Space group P-43m (No. 215)
Unique sites:
Tl (0.0000, 0.0000, 0.0000) x1
Ir (0.5000, 0.5000, 0.5000) x1
Au (0.0000, 0.5000, 0.5000) x3
O (0.2641, 0.2641, 0.2641) x4

No. 7
Density functional theory data (PBE) for crystalline SnIrW2 at its relaxed geometry.

Properties
The value obtained for the size of the total moment is 0.00 μB/atom. The crystal system is cubic. As for the final energy: -148.836 eV/cell.

a = 6.4494 Å, b = 6.4494 Å, c = 6.4494 Å
α = 90.00°, β = 90.00°, γ = 90.00°
Space group F-43m (No. 216)
Unique sites:
Sn (0.0000, 0.0000, 0.0000) x4
Ir (0.2500, 0.2500, 0.2500) x4
W (0.0000, 0.0000, 0.5000) x4
W (0.2500, 0.2500, 0.7500) x4

No. 8
Density functional theory data (PBE) for crystalline TbMg at its relaxed geometry.

Properties
The value obtained for the size of the total moment is 0.00 μB/atom. The crystal system is orthorhombic. As for the final energy: -24.368 eV/cell.

a = 5.4723 Å, b = 6.8647 Å, c = 5.9590 Å
α = 90.00°, β = 90.00°, γ = 90.00°
Space group Pmm2 (No. 25)
Unique sites:
Tb (0.0000, 0.0000, 0.0000) x1
Tb (0.0000, 0.2512, 0.5116) x2
Tb (0.5000, 0.0000, 0.3533) x1
Mg (0.0000, 0.5000, 0.0164) x1
Mg (0.5000, 0.2553, 0.8438) x2
Mg (0.5000, 0.5000, 0.3343) x1